Entry 1:
A plane-wave DFT calculation with PBE was carried out for TmMn4Al8 after structural relaxation.

Results
The density of states at the Fermi level is 0.658 states/eV per atom. As for the total magnetization: 0.00 μB per formula unit. The calculation puts the electronic total energy at -5.808 eV per atom.

The structure in CIF format:
```
data_TmMn4Al8
_symmetry_space_group_name_H-M 'I 4/m m m'
_symmetry_Int_Tables_number 139
_symmetry_space_group_name_Hall '-I 4 2'
_cell_length_a 8.762
_cell_length_b 8.762
_cell_length_c 4.927
_cell_angle_alpha 90.00
_cell_angle_beta 90.00
_cell_angle_gamma 90.00
loop_
_atom_site_label
_atom_site_fract_x
_atom_site_fract_y
_atom_site_fract_z
Tm1 0.000 0.000 0.000
Mn1 0.250 0.250 0.250
Al1 0.000 0.217 0.500
Al2 0.000 0.341 0.000
```


Entry 2:
A plane-wave DFT calculation with PBE was carried out for TaAsSe2I after structural relaxation.

Results
The value obtained for the energy relative to the lowest polymorph listed for this composition is 0 meV per atom. The density of states at the Fermi level is 0.890 states/eV per atom. The uncorrected formation energy is 0.047 eV/atom. As for the total magnetization: 0.00 μB per formula unit.

The structure in CIF format:
```
data_TaAsSe2I
_symmetry_space_group_name_H-M 'P 4/m m m'
_symmetry_Int_Tables_number 123
_symmetry_space_group_name_Hall '-P 4 2'
_cell_length_a 4.938
_cell_length_b 4.938
_cell_length_c 5.418
_cell_angle_alpha 90.00
_cell_angle_beta 90.00
_cell_angle_gamma 90.00
loop_
_atom_site_label
_atom_site_fract_x
_atom_site_fract_y
_atom_site_fract_z
Ta1 0.000 0.000 0.000
As1 0.000 0.000 0.500
Se1 0.000 0.500 0.000
I1 0.500 0.500 0.500
```


Entry 3:
A plane-wave DFT calculation with PBE was carried out for Re2Pt after structural relaxation.

Results
The value obtained for the energy relative to the lowest polymorph listed for this composition is 52 meV per atom. The density of states at the Fermi level is 0.770 states/eV per atom. As for the total magnetization: 0.00 μB per formula unit.

The structure in CIF format:
```
data_Re2Pt
_symmetry_space_group_name_H-M 'I 4/m m m'
_symmetry_Int_Tables_number 139
_symmetry_space_group_name_Hall '-I 4 2'
_cell_length_a 2.774
_cell_length_b 2.774
_cell_length_c 11.814
_cell_angle_alpha 90.00
_cell_angle_beta 90.00
_cell_angle_gamma 90.00
loop_
_atom_site_label
_atom_site_fract_x
_atom_site_fract_y
_atom_site_fract_z
Re1 0.000 0.000 0.174
Pt1 0.000 0.000 0.500
```


Entry 4:
A plane-wave DFT calculation with PBE was carried out for HoTm4Co4 after structural relaxation.

Results
The density of states at the Fermi level is 0.583 states/eV per atom. As for the total magnetization: 0.00 μB per formula unit. The calculation puts the electronic total energy at -5.748 eV per atom.

The structure in CIF format:
```
data_HoTm4Co4
_symmetry_space_group_name_H-M 'P 42/n'
_symmetry_Int_Tables_number 86
_cell_length_a 8.321
_cell_length_b 8.321
_cell_length_c 5.487
_cell_angle_alpha 90.00
_cell_angle_beta 90.00
_cell_angle_gamma 90.00
loop_
_symmetry_equiv_pos_as_xyz
'x,y,z'
'-x,-y,-z'
'-y,x+1/2,z+1/2'
'y,-x+1/2,-z+1/2'
'-x+1/2,-y+1/2,z'
'x+1/2,y+1/2,-z'
'y+1/2,-x,z+1/2'
'-y+1/2,x,-z+1/2'
loop_
_atom_site_label
_atom_site_fract_x
_atom_site_fract_y
_atom_site_fract_z
Ho1 0.250 0.250 0.250
Tm1 0.064 0.673 0.132
Co1 0.013 0.612 0.617
```


Entry 5:
A plane-wave DFT calculation with PBE was carried out for Li3Ga4Au after structural relaxation.

Results
The value obtained for the energy relative to the lowest polymorph listed for this composition is 0 meV per atom. The density of states at the Fermi level is 0.240 states/eV per atom. As for the total magnetization: 0.00 μB per formula unit.

The structure in CIF format:
```
data_Li3Ga4Au
_symmetry_space_group_name_H-M 'C 1 2/m 1'
_symmetry_Int_Tables_number 12
_cell_length_a 20.017
_cell_length_b 3.773
_cell_length_c 3.740
_cell_angle_alpha 90.00
_cell_angle_beta 100.65
_cell_angle_gamma 90.00
loop_
_symmetry_equiv_pos_as_xyz
'x,y,z'
'-x,-y,-z'
'-x,y,-z'
'x,-y,z'
'x+1/2,y+1/2,z'
'-x+1/2,-y+1/2,-z'
'-x+1/2,y+1/2,-z'
'x+1/2,-y+1/2,z'
loop_
_atom_site_label
_atom_site_fract_x
_atom_site_fract_y
_atom_site_fract_z
Li1 0.000 0.000 0.000
Li2 0.135 0.000 0.631
Ga1 0.096 0.500 0.092
Ga2 0.226 0.500 0.226
Au1 0.000 0.500 0.500
```


Entry 6:
A plane-wave DFT calculation with PBE was carried out for Bi2Te2I after structural relaxation.

Results
The value obtained for the energy relative to the lowest polymorph listed for this composition is 158 meV per atom. The density of states at the Fermi level is 0.461 states/eV per atom. The uncorrected formation energy is 0.065 eV/atom. As for the total magnetization: 0.00 μB per formula unit.

The structure in CIF format:
```
data_Bi2Te2I
_symmetry_space_group_name_H-M 'P 4/m b m'
_symmetry_Int_Tables_number 127
_symmetry_space_group_name_Hall '-P 4 2ab'
_cell_length_a 9.164
_cell_length_b 9.164
_cell_length_c 3.956
_cell_angle_alpha 90.00
_cell_angle_beta 90.00
_cell_angle_gamma 90.00
loop_
_atom_site_label
_atom_site_fract_x
_atom_site_fract_y
_atom_site_fract_z
Bi1 0.136 0.364 0.000
Te1 0.147 0.647 0.500
I1 0.000 0.000 0.500
```


Entry 7:
A plane-wave DFT calculation with PBE was carried out for BeGa6Cl12 after structural relaxation.

Results
The density of states at the Fermi level is 0.000 states/eV per atom. The uncorrected formation energy is -0.856 eV/atom. As for the total magnetization: 0.00 μB per formula unit.

The structure in CIF format:
```
data_BeGa6Cl12
_symmetry_space_group_name_H-M 'R -3'
_symmetry_Int_Tables_number 148
_symmetry_space_group_name_Hall '-R 3'
_cell_length_a 14.9899
_cell_length_b 14.9899
_cell_length_c 9.4334
_cell_angle_alpha 90.00
_cell_angle_beta 90.00
_cell_angle_gamma 120.00
loop_
_atom_site_label
_atom_site_fract_x
_atom_site_fract_y
_atom_site_fract_z
Be1 0.0000 0.0000 0.0000
Ga1 0.0385 0.1491 0.1155
Cl1 0.0372 0.1866 0.3340
Cl2 0.0672 0.5997 0.6794
```


Entry 8:
A plane-wave DFT calculation with PBE was carried out for TaTeMo2 after structural relaxation.

Results
The density of states at the Fermi level is 0.628 states/eV per atom. The uncorrected formation energy is 0.372 eV/atom. As for the total magnetization: 0.00 μB per formula unit.

The structure in CIF format:
```
data_TaTeMo2
_symmetry_space_group_name_H-M 'R 3 m'
_symmetry_Int_Tables_number 160
_symmetry_space_group_name_Hall 'R 3 -2"'
_cell_length_a 3.2151
_cell_length_b 3.2151
_cell_length_c 25.0716
_cell_angle_alpha 90.00
_cell_angle_beta 90.00
_cell_angle_gamma 120.00
loop_
_atom_site_label
_atom_site_fract_x
_atom_site_fract_y
_atom_site_fract_z
Ta1 0.0000 0.0000 0.0000
Te1 0.0000 0.0000 0.7570
Mo1 0.0000 0.0000 0.2538
Mo2 0.0000 0.0000 0.5128
```


Entry 9:
A plane-wave DFT calculation with PBE was carried out for Mn4Fe2Ir after structural relaxation.

Results
The density of states at the Fermi level is 1.059 states/eV per atom. As for the total magnetization: 4.45 μB per formula unit. The calculation puts the electronic total energy at -8.793 eV per atom.

The structure in CIF format:
```
data_Mn4Fe2Ir
_symmetry_space_group_name_H-M 'C 1 c 1'
_symmetry_Int_Tables_number 9
_cell_length_a 6.982
_cell_length_b 11.288
_cell_length_c 4.767
_cell_angle_alpha 90.00
_cell_angle_beta 116.11
_cell_angle_gamma 90.00
loop_
_symmetry_equiv_pos_as_xyz
'x,y,z'
'x,-y,z+1/2'
'x+1/2,y+1/2,z'
'x+1/2,-y+1/2,z+1/2'
loop_
_atom_site_label
_atom_site_fract_x
_atom_site_fract_y
_atom_site_fract_z
Mn1 0.000 0.008 0.000
Mn2 0.027 0.346 0.661
Mn3 0.248 0.315 0.208
Mn4 0.436 0.310 0.794
Fe1 0.165 0.149 0.860
Fe2 0.177 0.487 0.497
Ir1 0.338 0.090 0.489
```


Entry 10:
A plane-wave DFT calculation with PBE was carried out for Hf3CuNi after structural relaxation.

Results
The value obtained for the energy relative to the lowest polymorph listed for this composition is 0 meV per atom. The density of states at the Fermi level is 1.000 states/eV per atom. As for the total magnetization: 0.00 μB per formula unit.

The structure in CIF format:
```
data_Hf3CuNi
_symmetry_space_group_name_H-M 'C 1 2 1'
_symmetry_Int_Tables_number 5
_cell_length_a 14.121
_cell_length_b 3.321
_cell_length_c 7.737
_cell_angle_alpha 90.00
_cell_angle_beta 90.83
_cell_angle_gamma 90.00
loop_
_symmetry_equiv_pos_as_xyz
'x,y,z'
'-x,y,-z'
'x+1/2,y+1/2,z'
'-x+1/2,y+1/2,-z'
loop_
_atom_site_label
_atom_site_fract_x
_atom_site_fract_y
_atom_site_fract_z
Hf1 0.055 0.000 0.290
Hf2 0.097 0.500 0.938
Hf3 0.237 0.000 0.677
Cu1 0.088 0.499 0.568
Ni1 0.209 0.000 0.087
```